# GGA-PBE USeN, relaxed
data_USeN
_space_group_name_H-M_alt 'I 4/m m m'
_space_group_IT_number 139
_space_group_name_Hall '-I 4 2'
_cell_length_a 3.721
_cell_length_b 3.721
_cell_length_c 15.184
_cell_angle_alpha 90.00
_cell_angle_beta 90.00
_cell_angle_gamma 90.00
loop_
_atom_site_label
_atom_site_type_symbol
_atom_site_fract_x
_atom_site_fract_y
_atom_site_fract_z
U1 U 0.000 0.000 0.094
Se1 Se 0.000 0.000 0.320
N1 N 0.000 0.500 0.000
# Raw formation energy   -2.94 eV/f.u.
# Energy relative to the lowest polymorph listed for this composition   0.434 eV/atom
# Total moment   4.31 Bohr magnetons per cell